# 1
First-principles (PBE) data for TbPaTe2 after structural relaxation, as listed in Alexandria via LeMat-Bulk.

Output
As for the volume: 34.7 A^3/atom. The value obtained for the raw formation energy is -198 kJ/mol of formula units.

abc: 10.476 10.476 10.476
angles: 21.80 21.80 21.80
Fractional coordinates of all 4 atoms:
Tb  0.000  0.000  0.000
Pa  0.500  0.500  0.500
Te  0.099  0.099  0.099
Te  0.901  0.901  0.901


# 2
First-principles (PBE) data for CoNi2IrRh after structural relaxation, as listed in Alexandria via LeMat-Bulk.

Output
For the formation energy, the calculation gives 0.03 eV per atom. As for the volume: 12.5 A^3/atom.

abc: 5.700 3.705 5.909
angles: 90.00 90.68 90.00
Fractional coordinates of all 10 atoms:
Co  0.142  0.250  0.046
Co  0.858  0.750  0.954
Ni  0.046  0.750  0.341
Ni  0.239  0.750  0.757
Ni  0.761  0.250  0.243
Ni  0.954  0.250  0.659
Ir  0.447  0.750  0.148
Ir  0.553  0.250  0.852
Rh  0.340  0.250  0.452
Rh  0.660  0.750  0.548


# 3
First-principles (PBE) data for SiAsN2F after structural relaxation, as listed in Alexandria via LeMat-Bulk.

Output
As for the volume: 11.8 A^3/atom. The value obtained for the raw formation energy is 334 kJ/mol of formula units.

abc: 3.852 3.852 3.970
angles: 90.00 90.00 90.00
Fractional coordinates of all 5 atoms:
Si  0.000  0.000  0.000
As  0.500  0.500  0.500
N  0.000  0.500  0.500
N  0.500  0.000  0.500
F  0.500  0.500  0.000


> Number 3 is which compound?

SiAsN2F